K3PbO8: relaxed, PBE.

The structure in POSCAR format:
```
K3PbO8
1.0
-3.541 3.541 4.102
3.541 -3.541 4.102
3.541 3.541 -4.102
K Pb O
3 1 8
direct
0.000 0.000 0.000 K
0.250 0.750 0.500 K
0.750 0.250 0.500 K
0.500 0.500 0.000 Pb
0.145 0.450 0.000 O
0.246 0.685 0.000 O
0.315 0.315 0.561 O
0.450 0.145 0.000 O
0.550 0.550 0.695 O
0.685 0.246 0.000 O
0.754 0.754 0.439 O
0.855 0.855 0.305 O
```

magnetization	1.04	μB/cell
formation energy (no corrections)	-0.5463	eV per atom
SG	I-42m (121)
calculated total energy	-53.2	eV for the cell shown
mass density	3.7	g/cm3
DOS(E_F)	0.7502	states/eV per atom

***

CaZrRh: relaxed, PBE.

The structure in POSCAR format:
```
CaZrRh
1.0
4.709 0.000 0.000
-2.354 4.078 0.000
0.000 0.000 3.319
Ca Zr Rh
1 1 1
direct
0.000 0.000 0.000 Ca
0.667 0.333 0.566 Zr
0.333 0.667 0.345 Rh
```

magnetization	0.00	μB/cell
SG	P3m1 (156)
calculated total energy	-18.1	eV for the cell shown
mass density	6.1	g/cm3
DOS(E_F)	1.3530	states/eV per atom
offset from the most stable computed form	431	meV per atom

***

BeSe2NF: relaxed, PBE.

The structure in POSCAR format:
```
BeSe2NF
1.0
4.835 0.000 0.000
0.000 4.835 0.000
0.000 0.000 3.050
Be Se N F
1 2 1 1
direct
0.000 0.000 0.000 Be
0.000 0.500 0.000 Se
0.500 0.000 0.000 Se
0.000 0.000 0.500 N
0.500 0.500 0.500 F
```

magnetization	0.00	μB/cell
formation energy (no corrections)	0.4091	eV per atom
SG	P4/mmm (123)
calculated total energy	-18.8	eV for the cell shown
mass density	4.7	g/cm3
DOS(E_F)	0.7940	states/eV per atom
offset from the most stable computed form	0	meV per atom

***

TlBrO2: relaxed, PBE.

The structure in POSCAR format:
```
TlBrO2
1.0
4.014 0.000 0.000
0.000 18.574 0.000
0.000 0.000 4.312
Tl Br O
4 4 8
direct
0.000 0.174 0.250 Tl
0.000 0.826 0.750 Tl
0.500 0.326 0.750 Tl
0.500 0.674 0.250 Tl
0.000 0.433 0.250 Br
0.000 0.567 0.750 Br
0.500 0.067 0.750 Br
0.500 0.933 0.250 Br
0.000 0.335 0.250 O
0.000 0.442 0.750 O
0.000 0.558 0.250 O
0.000 0.665 0.750 O
0.500 0.058 0.250 O
0.500 0.165 0.750 O
0.500 0.835 0.250 O
0.500 0.942 0.750 O
```

magnetization	0.00	μB/cell
formation energy (no corrections)	-0.0200	eV per atom
SG	Cmcm (63)
calculated total energy	-56.1	eV for the cell shown
mass density	6.5	g/cm3
DOS(E_F)	0.6241	states/eV per atom
offset from the most stable computed form	324	meV per atom

***

FeRu2Pb: relaxed, PBE.

The structure in POSCAR format:
```
FeRu2Pb
1.0
3.170 0.000 0.000
0.000 3.170 0.000
0.000 0.000 6.351
Fe Ru Pb
1 2 1
direct
0.000 0.000 0.000 Fe
0.500 0.500 0.221 Ru
0.500 0.500 0.779 Ru
0.000 0.000 0.500 Pb
```

magnetization	4.05	μB/cell
SG	P4/mmm (123)
calculated total energy	-29.1	eV for the cell shown
mass density	12.1	g/cm3
DOS(E_F)	0.9911	states/eV per atom

***

Rb2Zn2Au3: relaxed, PBE.

The structure in POSCAR format:
```
Rb2Zn2Au3
1.0
4.541 0.000 0.000
-0.003 6.603 0.000
-2.206 -1.626 6.770
Rb Zn Au
2 2 3
direct
0.138 0.053 0.271 Rb
0.862 0.947 0.729 Rb
0.393 0.476 0.788 Zn
0.607 0.524 0.212 Zn
0.000 0.500 0.000 Au
0.210 0.575 0.418 Au
0.790 0.425 0.582 Au
```

magnetization	0.00	μB/cell
SG	P-1 (2)
calculated total energy	-16.0	eV for the cell shown
mass density	7.3	g/cm3
DOS(E_F)	0.3204	states/eV per atom
offset from the most stable computed form	0	meV per atom

***

Question: mass density of number 3 (BeSe2NF)?
Answer: 4.7 g/cm3

***

What did the fourth record say?
TlBrO2: relaxed, PBE.

The structure in POSCAR format:
```
TlBrO2
1.0
4.014 0.000 0.000
0.000 18.574 0.000
0.000 0.000 4.312
Tl Br O
4 4 8
direct
0.000 0.174 0.250 Tl
0.000 0.826 0.750 Tl
0.500 0.326 0.750 Tl
0.500 0.674 0.250 Tl
0.000 0.433 0.250 Br
0.000 0.567 0.750 Br
0.500 0.067 0.750 Br
0.500 0.933 0.250 Br
0.000 0.335 0.250 O
0.000 0.442 0.750 O
0.000 0.558 0.250 O
0.000 0.665 0.750 O
0.500 0.058 0.250 O
0.500 0.165 0.750 O
0.500 0.835 0.250 O
0.500 0.942 0.750 O
```

magnetization	0.00	μB/cell
formation energy (no corrections)	-0.0200	eV per atom
SG	Cmcm (63)
calculated total energy	-56.1	eV for the cell shown
mass density	6.5	g/cm3
DOS(E_F)	0.6241	states/eV per atom
offset from the most stable computed form	324	meV per atom